[1]
The following is a GGA-PBE calculation of PrNb after structural relaxation, from OQMD via LeMat-Bulk.

Unit cell a=3.2115 b=3.2115 c=5.5844 alpha=90.00 beta=90.00 gamma=120.00
Space group P-6m2 (No. 187)
One atom of each set of equivalent atoms:
Pr1 0.0000 0.0000 0.0000 x1
Nb1 0.3333 0.6667 0.5000 x1

* size of the total moment: 0.0 Bohr magnetons per cell
* excess energy over the best structure of this formula in the dataset: 0.0 meV/atom
* electronic total energy: -6.771 eV per atom
* V: 24.94 A^3/atom

***

[2]
The following is a GGA-PBE calculation of ZrAs after structural relaxation, from OQMD via LeMat-Bulk.

Unit cell a=7.244 b=13.545 c=4.924 alpha=90.00 beta=90.00 gamma=90.00
Space group Pbcm (No. 57)
One atom of each set of equivalent atoms:
Zr1 0.100 0.144 0.250 x4
Zr2 0.353 0.647 0.250 x4
Zr3 0.385 0.161 0.750 x4
As1 0.123 0.019 0.750 x4
As2 0.133 0.686 0.750 x4
As3 0.379 0.001 0.250 x4

* size of the total moment: 0.0 Bohr magnetons per cell
* electronic total energy: -7.133 eV per atom
* V: 20.13 A^3/atom

***

[3]
The following is a GGA-PBE calculation of La2NdAgHg3Au2 after structural relaxation, from OQMD via LeMat-Bulk.

Unit cell a=3.959 b=14.103 c=8.159 alpha=90.00 beta=90.00 gamma=90.00
Space group Amm2 (No. 38)
One atom of each set of equivalent atoms:
La1 0.000 0.203 0.000 x4
Nd1 0.000 0.000 0.391 x2
Ag1 0.000 0.000 0.797 x2
Hg1 0.500 0.000 0.062 x2
Hg2 0.500 0.130 0.665 x4
Au1 0.500 0.166 0.298 x4

* size of the total moment: 0.0 Bohr magnetons per cell
* electronic total energy: -3.376 eV per atom
* V: 25.31 A^3/atom

***

Q: Look up the V of the second one.
A: 20.13 A^3/atom